[1]
# LiTbHoPd

A geometry-optimized LiTbHoPd structure (GGA-PBE, Alexandria via LeMat-Bulk).

The formation energy comes out at -410 meV/atom. Its total magnetization is 0.0 μB/cell. As for the total energy: -4.49 eV per atom.

The space group is F-43m (No. 216) and the conventional cell measures 7.1095, 7.1095 and 7.1095 Å, with angles of 90.00, 90.00 and 90.00 degrees. The distinct sites, in fractional coordinates, are Li at (0.0000, 0.0000, 0.0000), Tb at (0.2500, 0.2500, 0.7500), Ho at (0.2500, 0.2500, 0.2500) and Pd at (0.0000, 0.0000, 0.5000).

[2]
# LiHoTm2Pd4

A geometry-optimized LiHoTm2Pd4 structure (GGA-PBE, Alexandria via LeMat-Bulk).

The formation energy comes out at -827 meV/atom. Its total magnetization is 0.0 μB/cell. As for the total energy: -5.35 eV per atom.

The space group is R-3m (No. 166, hexagonal axes) and the conventional cell measures 4.8300, 4.8300 and 23.2903 Å, with angles of 90.00, 90.00 and 120.00 degrees. The distinct sites, in fractional coordinates, are Li at (0.0000, 0.0000, 0.0000), Ho at (0.0000, 0.0000, 0.5000), Tm at (0.0000, 0.0000, 0.2573), Pd at (0.0000, 0.0000, 0.1248) and Pd at (0.0000, 0.0000, 0.3781).

[3]
# Li2HoTm2Pd5

A geometry-optimized Li2HoTm2Pd5 structure (GGA-PBE, Alexandria via LeMat-Bulk).

The formation energy comes out at -760 meV/atom. Its total magnetization is 0.0 μB/cell. As for the total energy: -5.09 eV per atom.

The space group is P4/mbm (No. 127) and the conventional cell measures 9.8469, 9.8469 and 3.6525 Å, with angles of 90.00, 90.00 and 90.00 degrees. The distinct sites, in fractional coordinates, are Li at (0.1205, 0.3795, 0.0000), Ho at (0.0000, 0.0000, 0.0000), Tm at (0.1745, 0.6745, 0.0000), Pd at (0.0000, 0.5000, 0.5000) and Pd at (0.0714, 0.2137, 0.5000).

[4]
# Li2Ho2TmPd5

A geometry-optimized Li2Ho2TmPd5 structure (GGA-PBE, Alexandria via LeMat-Bulk).

The formation energy comes out at -763 meV/atom. Its total magnetization is 0.0 μB/cell. As for the total energy: -5.11 eV per atom.

The space group is P4/mbm (No. 127) and the conventional cell measures 9.8648, 9.8648 and 3.6545 Å, with angles of 90.00, 90.00 and 90.00 degrees. The distinct sites, in fractional coordinates, are Li at (0.1208, 0.3792, 0.0000), Ho at (0.1747, 0.6747, 0.0000), Tm at (0.0000, 0.0000, 0.0000), Pd at (0.0000, 0.5000, 0.5000) and Pd at (0.0704, 0.2127, 0.5000).

[5]
# LiYHoPd

A geometry-optimized LiYHoPd structure (GGA-PBE, Alexandria via LeMat-Bulk).

The formation energy comes out at -420 meV/atom. Its total magnetization is 0.0 μB/cell. As for the total energy: -4.96 eV per atom.

The space group is F-43m (No. 216) and the conventional cell measures 7.1051, 7.1051 and 7.1051 Å, with angles of 90.00, 90.00 and 90.00 degrees. The distinct sites, in fractional coordinates, are Li at (0.0000, 0.0000, 0.0000), Y at (0.2500, 0.2500, 0.2500), Ho at (0.2500, 0.2500, 0.7500) and Pd at (0.0000, 0.0000, 0.5000).

[6]
# Li2Y2HoPd5

A geometry-optimized Li2Y2HoPd5 structure (GGA-PBE, Alexandria via LeMat-Bulk).

The formation energy comes out at -746 meV/atom. Its total magnetization is 0.0 μB/cell. As for the total energy: -5.48 eV per atom.

The space group is P4/mbm (No. 127) and the conventional cell measures 9.9203, 9.9203 and 3.6760 Å, with angles of 90.00, 90.00 and 90.00 degrees. The distinct sites, in fractional coordinates, are Li at (0.1204, 0.3796, 0.0000), Y at (0.1749, 0.6749, 0.0000), Ho at (0.0000, 0.0000, 0.0000), Pd at (0.0000, 0.5000, 0.5000) and Pd at (0.0697, 0.2139, 0.5000).

[7]
# Li2Ho2ZnPd5

A geometry-optimized Li2Ho2ZnPd5 structure (GGA-PBE, Alexandria via LeMat-Bulk).

The formation energy comes out at -659 meV/atom. Its total magnetization is 0.0 μB/cell. As for the total energy: -4.68 eV per atom.

The space group is P4/mbm (No. 127) and the conventional cell measures 9.5055, 9.5055 and 3.6309 Å, with angles of 90.00, 90.00 and 90.00 degrees. The distinct sites, in fractional coordinates, are Li at (0.1207, 0.3793, 0.0000), Ho at (0.1788, 0.6788, 0.0000), Zn at (0.0000, 0.0000, 0.0000), Pd at (0.0000, 0.5000, 0.5000) and Pd at (0.0660, 0.2038, 0.5000).

[8]
# LiPmHo

A geometry-optimized LiPmHo structure (GGA-PBE, Alexandria via LeMat-Bulk).

The formation energy comes out at 107 meV/atom. Its total magnetization is 0.0 μB/cell. As for the total energy: -3.64 eV per atom. The calculation puts the polymorph energy (0 for the lowest one) at 2.2 kJ per mole of atoms.

The space group is P3m1 (No. 156) and the conventional cell measures 3.5067, 3.5067 and 8.3730 Å, with angles of 90.00, 90.00 and 120.00 degrees. The distinct sites, in fractional coordinates, are Li at (0.0000, 0.0000, 0.0000), Pm at (0.6667, 0.3333, 0.3349) and Ho at (0.3333, 0.6667, 0.6757).

[9]
# LiPmHo

A geometry-optimized LiPmHo structure (GGA-PBE, Alexandria via LeMat-Bulk).

The formation energy comes out at 86 meV/atom. Its total magnetization is 0.0 μB/cell. As for the total energy: -3.66 eV per atom. The calculation puts the polymorph energy (0 for the lowest one) at 0.2 kJ per mole of atoms.

The space group is I4mm (No. 107) and the conventional cell measures 3.7022, 3.7022 and 12.3818 Å, with angles of 90.00, 90.00 and 90.00 degrees. The distinct sites, in fractional coordinates, are Li at (0.0000, 0.0000, 0.0000), Pm at (0.0000, 0.0000, 0.6580) and Ho at (0.0000, 0.0000, 0.3522).

[10]
# LiPmHo

A geometry-optimized LiPmHo structure (GGA-PBE, Alexandria via LeMat-Bulk).

The formation energy comes out at 84 meV/atom. Its total magnetization is 0.0 μB/cell. As for the total energy: -3.66 eV per atom. The calculation puts the polymorph energy (0 for the lowest one) at 0.0 kJ per mole of atoms.

The space group is C2/m (No. 12) and the conventional cell measures 6.1607, 3.5528 and 15.7323 Å, with angles of 90.00, 90.19 and 90.00 degrees. The distinct sites, in fractional coordinates, are Li at (0.1668, 0.0000, 0.4377), Pm at (0.1661, 0.0000, 0.0955) and Ho at (0.0006, 0.5000, 0.7247).

[11]
# LiPm5Ho4

A geometry-optimized LiPm5Ho4 structure (GGA-PBE, Alexandria via LeMat-Bulk).

The formation energy comes out at 37 meV/atom. Its total magnetization is 0.0 μB/cell. As for the total energy: -4.36 eV per atom.

The space group is P4/mmm (No. 123) and the conventional cell measures 3.6046, 3.6046 and 24.3301 Å, with angles of 90.00, 90.00 and 90.00 degrees. The distinct sites, in fractional coordinates, are Li at (0.0000, 0.0000, 0.0000), Pm at (0.5000, 0.5000, 0.0874), Pm at (0.5000, 0.5000, 0.2932), Pm at (0.5000, 0.5000, 0.5000), Ho at (0.0000, 0.0000, 0.1892) and Ho at (0.0000, 0.0000, 0.3965).

[12]
# LiPmPrHo

A geometry-optimized LiPmPrHo structure (GGA-PBE, Alexandria via LeMat-Bulk).

The formation energy comes out at 157 meV/atom. Its total magnetization is 0.0 μB/cell. As for the total energy: -3.85 eV per atom. The calculation puts the polymorph energy (0 for the lowest one) at 0.0 kJ per mole of atoms.

The space group is F-43m (No. 216) and the conventional cell measures 7.9042, 7.9042 and 7.9042 Å, with angles of 90.00, 90.00 and 90.00 degrees. The distinct sites, in fractional coordinates, are Li at (0.0000, 0.0000, 0.0000), Pm at (0.2500, 0.2500, 0.2500), Pr at (0.2500, 0.2500, 0.7500) and Ho at (0.0000, 0.0000, 0.5000).